(1)
A geometry-optimized NaSrAcSb structure. Source: Alexandria, functional PBE.

Cell: 5.814 5.814 5.814 Å, 60.00 60.00 60.00°
Atoms (fractional coordinates):
Na 0.000 0.000 0.000
Sr 0.250 0.250 0.250
Ac 0.750 0.750 0.750
Sb 0.500 0.500 0.500

Values from the calculation:
Total DFT energy (no corrections) (eV/f.u.): -12.734
Total moment (μB per formula unit): 0.00

(2)
A geometry-optimized Na3AcSb2Te6 structure. Source: Alexandria, functional PBE.

Cell: 7.896 7.896 8.045 Å, 99.45 99.45 120.13°
Atoms (fractional coordinates):
Na 0.000 0.000 0.000
Na 0.336 0.664 0.000
Na 0.664 0.336 0.000
Ac 0.500 0.500 0.500
Sb 0.168 0.832 0.500
Sb 0.832 0.168 0.500
Te 0.067 0.422 0.265
Te 0.226 0.226 0.738
Te 0.422 0.067 0.265
Te 0.578 0.933 0.735
Te 0.774 0.774 0.262
Te 0.933 0.578 0.735

Values from the calculation:
Total DFT energy (no corrections) (eV/f.u.): -44.251
Total moment (μB per formula unit): 0.00

(3)
A geometry-optimized NaAcSbTe structure. Source: Alexandria, functional PBE.

Cell: 5.663 5.663 5.663 Å, 60.00 60.00 60.00°
Atoms (fractional coordinates):
Na 0.000 0.000 0.000
Ac 0.500 0.500 0.500
Sb 0.750 0.750 0.750
Te 0.250 0.250 0.250

Values from the calculation:
Total DFT energy (no corrections) (eV/f.u.): -16.081
Total moment (μB per formula unit): 0.00

(4)
A geometry-optimized NaAcTlSb structure. Source: Alexandria, functional PBE.

Cell: 5.640 5.640 5.640 Å, 60.00 60.00 60.00°
Atoms (fractional coordinates):
Na 0.000 0.000 0.000
Ac 0.500 0.500 0.500
Tl 0.250 0.250 0.250
Sb 0.750 0.750 0.750

Values from the calculation:
Total DFT energy (no corrections) (eV/f.u.): -13.622
Total moment (μB per formula unit): 0.00

(5)
A geometry-optimized NaAcSc structure. Source: Alexandria, functional PBE.

Cell: 5.785 5.791 6.970 Å, 89.97 89.78 60.12°
Atoms (fractional coordinates):
Na 0.001 0.000 0.218
Na 0.999 0.000 0.782
Ac 0.333 0.333 0.623
Ac 0.667 0.667 0.377
Sc 0.334 0.334 0.108
Sc 0.666 0.666 0.892

Values from the calculation:
DFT formation energy (kJ per mole of atoms): 32.3
Total moment (μB per formula unit): 0.00

(6)
A geometry-optimized NaAc2Sc structure. Source: Alexandria, functional PBE.

Cell: 4.095 4.095 9.241 Å, 90.00 90.00 90.00°
Atoms (fractional coordinates):
Na 0.000 0.000 0.000
Ac 0.500 0.500 0.281
Ac 0.500 0.500 0.719
Sc 0.000 0.000 0.500

Values from the calculation:
DFT formation energy (kJ per mole of atoms): 12.3
Total moment (μB per formula unit): 0.00
Polymorph energy (0 for the lowest one) (meV per atom): 0

(7)
A geometry-optimized NaAc2Sc structure. Source: Alexandria, functional PBE.

Cell: 13.173 13.173 13.173 Å, 16.40 16.40 16.40°
Atoms (fractional coordinates):
Na 0.000 0.000 0.000
Ac 0.095 0.095 0.095
Ac 0.905 0.905 0.905
Sc 0.500 0.500 0.500

Values from the calculation:
DFT formation energy (kJ per mole of atoms): 19.9
Total moment (μB per formula unit): 0.00
Polymorph energy (0 for the lowest one) (meV per atom): 79

(8)
A geometry-optimized Na4Ac3ScSe8 structure. Source: Alexandria, functional PBE.

Cell: 8.657 8.657 8.657 Å, 60.86 60.86 60.86°
Atoms (fractional coordinates):
Na 0.000 0.000 0.000
Na 0.000 0.500 0.500
Na 0.500 0.000 0.500
Na 0.500 0.500 0.000
Ac 0.000 0.000 0.500
Ac 0.000 0.500 0.000
Ac 0.500 0.000 0.000
Sc 0.500 0.500 0.500
Se 0.250 0.250 0.250
Se 0.270 0.270 0.729
Se 0.270 0.729 0.270
Se 0.271 0.730 0.730
Se 0.729 0.270 0.270
Se 0.730 0.271 0.730
Se 0.730 0.730 0.271
Se 0.750 0.750 0.750

Values from the calculation:
Total DFT energy (no corrections) (eV/f.u.): -78.282
Total moment (μB per formula unit): 0.00

(9)
A geometry-optimized NaAc2ScSe5 structure. Source: Alexandria, functional PBE.

Cell: 9.089 9.089 12.969 Å, 90.00 90.00 152.61°
Atoms (fractional coordinates):
Na 0.031 0.969 0.500
Na 0.969 0.031 0.000
Ac 0.363 0.637 0.332
Ac 0.396 0.604 0.718
Ac 0.604 0.396 0.218
Ac 0.637 0.363 0.832
Sc 0.298 0.702 0.044
Sc 0.702 0.298 0.544
Se 0.008 0.992 0.801
Se 0.141 0.859 0.032
Se 0.189 0.811 0.400
Se 0.222 0.778 0.687
Se 0.435 0.565 0.109
Se 0.565 0.435 0.609
Se 0.778 0.222 0.187
Se 0.811 0.189 0.900
Se 0.859 0.141 0.532
Se 0.992 0.008 0.301

Values from the calculation:
Total DFT energy (no corrections) (eV/f.u.): -48.866
Total moment (μB per formula unit): 0.00

(10)
A geometry-optimized Na2AcScSe4 structure. Source: Alexandria, functional PBE.

Cell: 7.365 4.240 7.435 Å, 90.00 109.38 90.00°
Atoms (fractional coordinates):
Na 0.000 0.000 0.000
Na 0.500 0.500 0.000
Ac 0.000 0.500 0.500
Sc 0.500 0.000 0.500
Se 0.277 0.000 0.736
Se 0.283 0.500 0.277
Se 0.717 0.500 0.723
Se 0.723 0.000 0.264

Values from the calculation:
Total DFT energy (no corrections) (eV/f.u.): -39.837
Total moment (μB per formula unit): 0.00

(11)
A geometry-optimized NaAcScSn structure. Source: Alexandria, functional PBE.

Cell: 5.484 5.484 5.484 Å, 60.00 60.00 60.00°
Atoms (fractional coordinates):
Na 0.000 0.000 0.000
Ac 0.750 0.750 0.750
Sc 0.250 0.250 0.250
Sn 0.500 0.500 0.500

Values from the calculation:
DFT formation energy (kJ per mole of atoms): -16.1
Total moment (μB per formula unit): 0.42

(12)
A geometry-optimized Na2AcScTe4 structure. Source: Alexandria, functional PBE.

Cell: 7.858 4.514 8.004 Å, 90.00 109.03 90.00°
Atoms (fractional coordinates):
Na 0.000 0.000 0.000
Na 0.500 0.500 0.000
Ac 0.000 0.500 0.500
Sc 0.500 0.000 0.500
Te 0.275 0.000 0.740
Te 0.283 0.500 0.275
Te 0.717 0.500 0.725
Te 0.725 0.000 0.260

Values from the calculation:
Total DFT energy (no corrections) (eV/f.u.): -35.643
Total moment (μB per formula unit): 0.00

(13)
A geometry-optimized Na3AcSc2Te6 structure. Source: Alexandria, functional PBE.

Cell: 7.676 7.676 7.989 Å, 99.39 99.39 120.13°
Atoms (fractional coordinates):
Na 0.000 0.000 0.000
Na 0.343 0.657 0.000
Na 0.657 0.343 0.000
Ac 0.500 0.500 0.500
Sc 0.169 0.831 0.500
Sc 0.831 0.169 0.500
Te 0.059 0.422 0.272
Te 0.213 0.213 0.727
Te 0.422 0.059 0.272
Te 0.578 0.941 0.728
Te 0.787 0.787 0.273
Te 0.941 0.578 0.728

Values from the calculation:
Total DFT energy (no corrections) (eV/f.u.): -54.381
Total moment (μB per formula unit): 0.00

(14)
A geometry-optimized NaAc2ScTe4 structure. Source: Alexandria, functional PBE.

Cell: 7.756 4.552 7.966 Å, 90.00 109.50 90.00°
Atoms (fractional coordinates):
Na 0.000 0.000 0.000
Ac 0.500 0.000 0.500
Ac 0.500 0.500 0.000
Sc 0.000 0.500 0.500
Te 0.218 0.000 0.732
Te 0.224 0.500 0.251
Te 0.776 0.500 0.749
Te 0.782 0.000 0.268

Values from the calculation:
Total DFT energy (no corrections) (eV/f.u.): -38.929
Total moment (μB per formula unit): 0.00

(15)
A geometry-optimized Na2Ac2Se3 structure. Source: Alexandria, functional PBE.

Cell: 8.152 8.152 7.352 Å, 109.47 109.47 30.20°
Atoms (fractional coordinates):
Na 0.140 0.140 0.319
Na 0.860 0.860 0.681
Ac 0.385 0.385 0.190
Ac 0.615 0.615 0.810
Se 0.000 0.000 0.500
Se 0.253 0.253 0.768
Se 0.747 0.747 0.232

Values from the calculation:
Total DFT energy (no corrections) (eV/f.u.): -30.858
Total moment (μB per formula unit): 0.00

(16)
A geometry-optimized NaAc2Se3 structure. Source: Alexandria, functional PBE.

Cell: 4.448 4.448 22.154 Å, 90.00 90.00 120.00°
Atoms (fractional coordinates):
Na 0.000 0.000 0.250
Na 0.000 0.000 0.750
Ac 0.333 0.667 0.085
Ac 0.333 0.667 0.415
Ac 0.667 0.333 0.585
Ac 0.667 0.333 0.915
Se 0.000 0.000 0.000
Se 0.000 0.000 0.500
Se 0.333 0.667 0.664
Se 0.333 0.667 0.836
Se 0.667 0.333 0.164
Se 0.667 0.333 0.336

Values from the calculation:
Total moment (μB per formula unit): 0.00
Polymorph energy (0 for the lowest one) (meV per atom): 18

(17)
A geometry-optimized NaAc5Se8 structure. Source: Alexandria, functional PBE.

Cell: 8.124 8.124 8.124 Å, 109.56 109.56 109.29°
Atoms (fractional coordinates):
Na 0.000 0.000 0.000
Ac 0.241 0.119 0.618
Ac 0.377 0.759 0.878
Ac 0.501 0.623 0.382
Ac 0.750 0.250 0.500
Ac 0.881 0.499 0.122
Se 0.121 0.372 0.399
Se 0.131 0.385 0.898
Se 0.278 0.879 0.251
Se 0.487 0.232 0.102
Se 0.615 0.513 0.745
Se 0.628 0.028 0.749
Se 0.768 0.869 0.255
Se 0.972 0.722 0.601

Values from the calculation:
Total DFT energy (no corrections) (eV/f.u.): -77.302
Total moment (μB per formula unit): 0.00

(18)
A geometry-optimized NaAc2Se structure. Source: Alexandria, functional PBE.

Cell: 11.898 11.898 11.898 Å, 20.13 20.13 20.13°
Atoms (fractional coordinates):
Na 0.000 0.000 0.000
Ac 0.111 0.111 0.111
Ac 0.889 0.889 0.889
Se 0.500 0.500 0.500

Values from the calculation:
Total DFT energy (no corrections) (eV/f.u.): -15.505
Total moment (μB per formula unit): 0.00

(19)
A geometry-optimized Na3Ac2Se4 structure. Source: Alexandria, functional PBE.

Cell: 4.481 4.481 17.371 Å, 90.03 90.03 59.99°
Atoms (fractional coordinates):
Na 0.000 0.000 0.000
Na 0.334 0.334 0.404
Na 0.666 0.666 0.596
Ac 0.333 0.333 0.797
Ac 0.667 0.667 0.203
Se 0.001 0.001 0.305
Se 0.334 0.334 0.104
Se 0.666 0.666 0.896
Se 0.999 0.999 0.695

Values from the calculation:
Total DFT energy (no corrections) (eV/f.u.): -39.593
Total moment (μB per formula unit): 0.00

(20)
A geometry-optimized NaAc2Se3 structure. Source: Alexandria, functional PBE.

Cell: 7.700 7.700 7.700 Å, 146.50 131.98 59.82°
Atoms (fractional coordinates):
Na 0.000 0.000 0.000
Ac 0.335 0.335 0.000
Ac 0.665 0.665 0.000
Se 0.165 0.665 0.500
Se 0.500 0.000 0.500
Se 0.835 0.335 0.500

Values from the calculation:
Total moment (μB per formula unit): 0.00
Polymorph energy (0 for the lowest one) (meV per atom): 0

(21)
A geometry-optimized NaAc5Se6 structure. Source: Alexandria, functional PBE.

Cell: 7.704 7.704 7.707 Å, 99.61 99.61 120.04°
Atoms (fractional coordinates):
Na 0.000 0.000 0.000
Ac 0.167 0.833 0.500
Ac 0.334 0.666 0.000
Ac 0.500 0.500 0.500
Ac 0.666 0.334 0.000
Ac 0.833 0.167 0.500
Se 0.082 0.409 0.246
Se 0.244 0.244 0.756
Se 0.409 0.082 0.246
Se 0.591 0.918 0.754
Se 0.756 0.756 0.244
Se 0.918 0.591 0.754

Values from the calculation:
Total DFT energy (no corrections) (eV/f.u.): -64.580
Total moment (μB per formula unit): 0.00

(22)
A geometry-optimized NaAcSe4 structure. Source: Alexandria, functional PBE.

Cell: 6.024 6.024 6.024 Å, 60.00 60.00 60.00°
Atoms (fractional coordinates):
Na 0.000 0.000 0.000
Ac 0.250 0.250 0.250
Se 0.124 0.625 0.625
Se 0.625 0.124 0.625
Se 0.625 0.625 0.124
Se 0.625 0.625 0.625

Values from the calculation:
Total DFT energy (no corrections) (eV/f.u.): -22.050
Total moment (μB per formula unit): 0.00

(23)
A geometry-optimized Na2AcSiSe4 structure. Source: Alexandria, functional PBE.

Cell: 8.463 8.463 8.463 Å, 123.49 116.57 90.05°
Atoms (fractional coordinates):
Na 0.000 0.000 0.000
Na 0.500 0.000 0.000
Na 0.500 0.000 0.500
Na 0.500 0.500 0.500
Ac 0.000 0.500 0.500
Ac 0.500 0.500 0.000
Si 0.000 0.000 0.500
Si 0.000 0.500 0.000
Se 0.199 0.244 0.954
Se 0.210 0.756 0.454
Se 0.230 0.221 0.491
Se 0.230 0.739 0.009
Se 0.770 0.261 0.991
Se 0.770 0.779 0.509
Se 0.790 0.244 0.546
Se 0.801 0.756 0.046

Values from the calculation:
Total DFT energy (no corrections) (eV/f.u.): -34.233
Total moment (μB per formula unit): 0.00